#A
DFT (PBE) results for ZrNbGe3 after structural relaxation.

Values from the calculation:
space-group type = No. 221
size of the total moment = 0.00 μB per formula unit
D(E_F) = 12.74 states/eV/f.u.
crystal system = cubic

a b c (Å): 4.9990 4.9990 4.9990
angles (deg): 90.00 90.00 90.00
Positions (direct):
Zr  0.0000  0.0000  0.0000
Nb  0.5000  0.5000  0.5000
Ge  0.0000  0.0000  0.5000
Ge  0.0000  0.5000  0.0000
Ge  0.5000  0.0000  0.0000

#B
DFT (PBE) results for ZrNbGe3 after structural relaxation.

Values from the calculation:
space-group type = No. 221
size of the total moment = 0.00 μB per formula unit
D(E_F) = 5.45 states/eV/f.u.
crystal system = cubic

a b c (Å): 4.8968 4.8968 4.8968
angles (deg): 90.00 90.00 90.00
Positions (direct):
Zr  0.0000  0.0000  0.0000
Nb  0.5000  0.5000  0.5000
Ge  0.0000  0.5000  0.5000
Ge  0.5000  0.0000  0.5000
Ge  0.5000  0.5000  0.0000

Which of the structures shown above is the most stable? The most stable is #B.